Record 1
# HoZrBe2Ge2

HoZrBe2Ge2 after structural relaxation (GGA-PBE, OQMD). Values from VASP.

```
&SYSTEM
  ibrav = 0, nat = 6, ntyp = 4
/
ATOMIC_SPECIES
Be 9.01 Be.upf
Ge 72.64 Ge.upf
Ho 164.93 Ho.upf
Zr 91.22 Zr.upf
CELL_PARAMETERS angstrom
3.8364 0.0000 0.0000
-1.9182 3.3224 0.0000
0.0000 0.0000 7.7325
ATOMIC_POSITIONS angstrom
Be 1.9182 1.1075 1.7898
Be 0.0000 2.2149 5.9427
Ge 0.0000 2.2149 1.8690
Ge 1.9182 1.1075 5.8635
Ho 0.0000 0.0000 3.8662
Zr 0.0000 0.0000 0.0000
```

space group = P-3m1 (164)
total energy = -5.632 eV/atom

Record 2
# BeInGeIr

BeInGeIr after structural relaxation (GGA-PBE, OQMD). Values from VASP.

```
&SYSTEM
  ibrav = 0, nat = 4, ntyp = 4
/
ATOMIC_SPECIES
Be 9.01 Be.upf
Ge 72.64 Ge.upf
In 114.82 In.upf
Ir 192.22 Ir.upf
CELL_PARAMETERS angstrom
0.0000 3.1394 3.1394
3.1394 0.0000 3.1394
3.1394 3.1394 0.0000
ATOMIC_POSITIONS angstrom
Be 4.7091 4.7091 4.7091
Ge 1.5697 1.5697 1.5697
In 0.0000 0.0000 0.0000
Ir 3.1394 3.1394 3.1394
```

space group = F-43m (216)
total energy = -4.658 eV/atom

Record 3
# BeInGeIr

BeInGeIr after structural relaxation (GGA-PBE, OQMD). Values from VASP.

```
&SYSTEM
  ibrav = 0, nat = 4, ntyp = 4
/
ATOMIC_SPECIES
Be 9.01 Be.upf
Ge 72.64 Ge.upf
In 114.82 In.upf
Ir 192.22 Ir.upf
CELL_PARAMETERS angstrom
0.0000 3.1624 3.1624
3.1624 0.0000 3.1624
3.1624 3.1624 0.0000
ATOMIC_POSITIONS angstrom
Be 4.7436 4.7436 4.7436
Ge 3.1624 3.1624 3.1624
In 0.0000 0.0000 0.0000
Ir 1.5812 1.5812 1.5812
```

space group = F-43m (216)
total energy = -4.657 eV/atom

Record 4
# BeGeIr2

BeGeIr2 after structural relaxation (GGA-PBE, OQMD). Values from VASP.

```
&SYSTEM
  ibrav = 0, nat = 4, ntyp = 3
/
ATOMIC_SPECIES
Be 9.01 Be.upf
Ge 72.64 Ge.upf
Ir 192.22 Ir.upf
CELL_PARAMETERS angstrom
0.0000 3.0280 3.0280
3.0280 0.0000 3.0280
3.0280 3.0280 0.0000
ATOMIC_POSITIONS angstrom
Be 1.5140 1.5140 1.5140
Ge 3.0280 3.0280 3.0280
Ir 0.0000 0.0000 0.0000
Ir 4.5421 4.5421 4.5421
```

space group = F-43m (216)
total energy = -6.273 eV/atom

Record 5
# BeGeIr

BeGeIr after structural relaxation (GGA-PBE, OQMD). Values from VASP.

```
&SYSTEM
  ibrav = 0, nat = 3, ntyp = 3
/
ATOMIC_SPECIES
Be 9.01 Be.upf
Ge 72.64 Ge.upf
Ir 192.22 Ir.upf
CELL_PARAMETERS angstrom
-0.3099 -3.7223 0.9805
-2.8698 -1.1554 2.3113
-2.8837 -2.1380 -1.4233
ATOMIC_POSITIONS angstrom
Be 0.0000 0.0000 0.0000
Ge -1.5159 -1.7539 0.4671
Ir -4.5476 -5.2617 1.4013
```

space group = F-43m (216)
total energy = -5.831 eV/atom

Record 6
# LuBeGeIr

LuBeGeIr after structural relaxation (GGA-PBE, OQMD). Values from VASP.

```
&SYSTEM
  ibrav = 0, nat = 4, ntyp = 4
/
ATOMIC_SPECIES
Be 9.01 Be.upf
Ge 72.64 Ge.upf
Ir 192.22 Ir.upf
Lu 174.97 Lu.upf
CELL_PARAMETERS angstrom
-1.9643 3.6236 1.8368
0.4060 4.0340 -1.9810
-3.5673 1.8953 -2.0111
ATOMIC_POSITIONS angstrom
Be -3.8442 7.1647 -1.6165
Ge -2.5628 4.7765 -1.0777
Ir 0.0000 0.0000 0.0000
Lu -1.2814 2.3882 -0.5388
```

space group = F-43m (216)
total energy = -5.623 eV/atom